Entry 1:
## Ag2BiTeO6 (PBE)

Data for Ag2BiTeO6 after structural relaxation.

Geometry as POSCAR:
```
Ag2BiTeO6
1.0
3.444 -2.243 4.043
-2.090 -3.835 3.763
1.606 -5.528 -0.325
Ag Bi O Te
2 1 6 1
Direct
0.250 0.250 0.250 Ag
0.750 0.750 0.750 Ag
0.000 0.000 0.000 Bi
0.737 0.263 0.263 O
0.263 0.737 0.263 O
0.737 0.737 0.263 O
0.263 0.263 0.737 O
0.737 0.263 0.737 O
0.263 0.737 0.737 O
0.500 0.500 0.500 Te
```

Computed properties:
E: -4.781 eV per atom


Entry 2:
## AgBiTe4O14 (PBE)

Data for AgBiTe4O14 after structural relaxation.

Geometry as POSCAR:
```
AgBiTe4O14
1.0
-4.186 4.186 4.209
4.186 -4.186 4.209
4.186 4.186 -4.209
Ag Bi O Te
1 1 14 4
Direct
0.585 0.585 0.000 Ag
0.009 0.009 0.000 Bi
0.967 0.330 0.017 O
0.060 0.805 0.184 O
0.700 0.422 0.231 O
0.876 0.060 0.256 O
0.469 0.700 0.277 O
0.330 0.313 0.362 O
0.680 0.180 0.500 O
0.180 0.680 0.500 O
0.950 0.967 0.638 O
0.422 0.192 0.723 O
0.805 0.621 0.744 O
0.192 0.469 0.769 O
0.621 0.876 0.816 O
0.313 0.950 0.983 O
0.182 0.626 0.218 Te
0.626 0.408 0.444 Te
0.964 0.182 0.556 Te
0.408 0.964 0.782 Te
```

Computed properties:
E: -5.079 eV per atom


Entry 3:
## Ag2BiOs (PBE)

Data for Ag2BiOs after structural relaxation.

Geometry as POSCAR:
```
Ag2BiOs
1.0
0.000 3.349 3.349
3.349 0.000 3.349
3.349 3.349 0.000
Ag Bi Os
2 1 1
Direct
0.000 0.000 0.000 Ag
0.750 0.750 0.750 Ag
0.500 0.500 0.500 Bi
0.250 0.250 0.250 Os
```

Computed properties:
M_tot: 0.001 μB per atom
E: -4.543 eV per atom


Entry 4:
## AgBi2Os (PBE)

Data for AgBi2Os after structural relaxation.

Geometry as POSCAR:
```
AgBi2Os
1.0
0.000 3.537 3.537
3.537 0.000 3.537
3.537 3.537 0.000
Ag Bi Os
1 2 1
Direct
0.750 0.750 0.750 Ag
0.250 0.250 0.250 Bi
0.500 0.500 0.500 Bi
0.000 0.000 0.000 Os
```

Computed properties:
M_tot: 0.010 μB per atom
E: -4.561 eV per atom


Entry 5:
## AgBi5Os3 (PBE)

Data for AgBi5Os3 after structural relaxation.

Geometry as POSCAR:
```
AgBi5Os3
1.0
5.745 0.000 0.000
-2.872 4.975 0.000
0.000 0.000 8.202
Ag Bi Os
1 5 3
Direct
0.000 0.000 0.000 Ag
0.667 0.333 0.219 Bi
0.333 0.667 0.219 Bi
0.000 0.000 0.500 Bi
0.667 0.333 0.781 Bi
0.333 0.667 0.781 Bi
0.500 0.000 0.500 Os
0.000 0.500 0.500 Os
0.500 0.500 0.500 Os
```

Computed properties:
M_tot: 0.170 μB per atom
E: -5.698 eV per atom


Entry 6:
## AgBiP2Se6 (PBE)

Data for AgBiP2Se6 after structural relaxation.

Geometry as POSCAR:
```
AgBiP2Se6
1.0
-3.374 5.844 0.000
-3.374 -5.844 0.000
-3.374 1.948 14.061
Ag Bi P Se
2 2 4 12
Direct
0.188 0.594 0.217 Ag
0.812 0.406 0.783 Ag
0.825 0.912 0.263 Bi
0.175 0.088 0.737 Bi
0.553 0.276 0.171 P
0.444 0.222 0.334 P
0.556 0.778 0.666 P
0.447 0.724 0.829 P
0.887 0.270 0.121 Se
0.609 0.616 0.121 Se
0.263 0.993 0.121 Se
0.750 0.500 0.377 Se
0.373 0.873 0.377 Se
0.124 0.250 0.377 Se
0.876 0.750 0.623 Se
0.627 0.127 0.623 Se
0.250 0.500 0.623 Se
0.737 0.007 0.879 Se
0.391 0.384 0.879 Se
0.113 0.730 0.879 Se
```

Computed properties:
E: -4.049 eV per atom


Entry 7:
## Sr2Ag2BiP (PBE)

Data for Sr2Ag2BiP after structural relaxation.

Geometry as POSCAR:
```
Sr2Ag2BiP
1.0
4.720 0.000 0.000
-2.360 4.088 0.000
0.000 0.000 8.519
Ag Bi P Sr
2 1 1 2
Direct
0.667 0.333 0.015 Ag
0.000 0.000 0.504 Ag
0.000 0.000 0.988 Bi
0.667 0.333 0.494 P
0.333 0.667 0.265 Sr
0.333 0.667 0.734 Sr
```

Computed properties:
E: -3.702 eV per atom


Entry 8:
## Sr2Ag2BiP (PBE)

Data for Sr2Ag2BiP after structural relaxation.

Geometry as POSCAR:
```
Sr2Ag2BiP
1.0
4.720 0.000 0.000
-2.360 4.087 0.000
0.000 0.000 8.542
Ag Bi P Sr
2 1 1 2
Direct
0.000 0.000 0.000 Ag
0.333 0.667 0.500 Ag
0.000 0.000 0.500 Bi
0.333 0.667 0.000 P
0.667 0.333 0.234 Sr
0.667 0.333 0.766 Sr
```

Computed properties:
E: -3.702 eV per atom


Entry 9:
## PaAgBi2 (PBE)

Data for PaAgBi2 after structural relaxation.

Geometry as POSCAR:
```
PaAgBi2
1.0
2.600 1.094 5.492
-3.874 -4.178 2.379
3.928 -4.222 -1.019
Ag Bi Pa
2 4 2
Direct
0.000 0.000 0.000 Ag
0.000 0.000 0.500 Ag
0.437 0.140 0.250 Bi
0.860 0.563 0.250 Bi
0.140 0.437 0.750 Bi
0.563 0.860 0.750 Bi
0.364 0.636 0.250 Pa
0.636 0.364 0.750 Pa
```

Computed properties:
M_tot: 0.058 μB per atom
E: -5.065 eV per atom


Entry 10:
## AgBi2Pb2 (PBE)

Data for AgBi2Pb2 after structural relaxation.

Geometry as POSCAR:
```
AgBi2Pb2
1.0
-2.374 2.374 7.413
2.374 -2.374 7.413
2.374 2.374 -7.413
Ag Bi Pb
1 2 2
Direct
0.000 0.000 0.000 Ag
0.750 0.250 0.500 Bi
0.250 0.750 0.500 Bi
0.399 0.399 0.000 Pb
0.601 0.601 0.000 Pb
```

Computed properties:
E: -3.339 eV per atom


Entry 11:
## AgBi2Pd (PBE)

Data for AgBi2Pd after structural relaxation.

Geometry as POSCAR:
```
AgBi2Pd
1.0
-0.938 -4.925 -0.867
-4.747 -1.553 -0.974
-1.256 -1.566 -4.676
Ag Bi Pd
1 2 1
Direct
0.750 0.750 0.750 Ag
0.250 0.250 0.250 Bi
0.500 0.500 0.500 Bi
0.000 0.000 0.000 Pd
```

Computed properties:
E: -3.891 eV per atom


Entry 12:
## AgBi5Pd3 (PBE)

Data for AgBi5Pd3 after structural relaxation.

Geometry as POSCAR:
```
AgBi5Pd3
1.0
5.688 0.000 0.000
-2.844 4.926 0.000
0.000 0.000 8.251
Ag Bi Pd
1 5 3
Direct
0.000 0.000 0.000 Ag
0.667 0.333 0.208 Bi
0.333 0.667 0.208 Bi
0.000 0.000 0.500 Bi
0.667 0.333 0.792 Bi
0.333 0.667 0.792 Bi
0.500 0.000 0.500 Pd
0.000 0.500 0.500 Pd
0.500 0.500 0.500 Pd
```

Computed properties:
E: -4.369 eV per atom